No. 1
# AcHoScAg | Alexandria | PBE | relaxed
data_AcHoScAg
_chemical_formula_sum 'Ac4 Ho4 Sc4 Ag4'
_symmetry_space_group_name_H-M 'F -4 3 m'
_symmetry_Int_Tables_number 216
_symmetry_space_group_name_Hall 'F -4 2 3'
_cell_length_a 7.660
_cell_length_b 7.660
_cell_length_c 7.660
_cell_angle_alpha 90.00
_cell_angle_beta 90.00
_cell_angle_gamma 90.00
loop_
_atom_site_label
_atom_site_fract_x
_atom_site_fract_y
_atom_site_fract_z
_atom_site_occupancy
Ac1 0.000 0.000 0.000 1
Ho1 0.250 0.250 0.750 1
Sc1 0.250 0.250 0.250 1
Ag1 0.000 0.000 0.500 1
# Mass density (kg/m³): 8052
# DOS at the Fermi energy (states/eV/f.u.): 7.057
# E_form (eV/atom): 0.209
# V (A^3/atom): 28.09
# Spin magnetization (μB per atom): 0.00



No. 2
# BaAg2HgIr | Alexandria | PBE | relaxed
data_BaAg2HgIr
_chemical_formula_sum 'Ba1 Ag2 Hg1 Ir1'
_symmetry_space_group_name_H-M 'P 4/m m m'
_symmetry_Int_Tables_number 123
_symmetry_space_group_name_Hall '-P 4 2'
_cell_length_a 6.074
_cell_length_b 6.074
_cell_length_c 6.466
_cell_angle_alpha 90.00
_cell_angle_beta 90.00
_cell_angle_gamma 90.00
loop_
_atom_site_label
_atom_site_fract_x
_atom_site_fract_y
_atom_site_fract_z
_atom_site_occupancy
Ba1 0.000 0.000 0.000 1
Ag1 0.000 0.500 0.000 1
Hg1 0.000 0.000 0.500 1
Ir1 0.500 0.500 0.500 1
# Mass density (kg/m³): 5193
# DOS at the Fermi energy (states/eV/f.u.): 3.948
# E_form (eV/atom): 1.727
# V (A^3/atom): 47.70
# Spin magnetization (μB per atom): 0.54